A relaxed MnP2RuO crystal, computed with PBE with a Hubbard U.

The structure in extended XYZ format:
```
5
Lattice="4.739 0.000 0.000 0.000 4.739 0.000 0.000 0.000 3.609" Properties=species:S:1:pos:R:3 pbc="T T T"
Mn 0.000 0.000 0.000
P 0.000 2.369 1.804
P 2.369 0.000 1.804
Ru 2.369 2.369 1.804
O 2.369 2.369 0.000
```

**Energy relative to the lowest polymorph listed for this composition**: 0.348 eV/atom
**SG**: No. 123
**Energy**: -28.20 eV per cell